# SiAgHg2 | the Alexandria database | PBE | optimized geometry
data_SiAgHg2
_chemical_formula_sum 'Si1 Ag1 Hg2'
_space_group_name_H-M_alt 'P 1'
_space_group_IT_number 1
_space_group_name_Hall 'P 1'
_cell_length_a 3.035
_cell_length_b 3.035
_cell_length_c 9.978
_cell_angle_alpha 90.00
_cell_angle_beta 90.00
_cell_angle_gamma 115.61
loop_
_atom_site_label
_atom_site_type_symbol
_atom_site_fract_x
_atom_site_fract_y
_atom_site_fract_z
Ag1 Ag 0.500 0.500 0.750
Hg1 Hg 0.000 0.000 0.000
Hg2 Hg 0.000 0.000 0.500
Si1 Si 0.500 0.500 0.250
# E_form (uncorrected) = 0.35 eV/atom
# space group = No. 65